Record 1
{
  "formula": "Li2Cd2Ga2CuPt",
  "functional": "PBE-GGA",
  "state": "optimized geometry",
  "lattice_angstrom": [[4.452, 0.000, 0.000], [0.000, 4.452, 0.000], [0.000, 0.000, 6.280]],
  "species": ["Li", "Ga", "Cu", "Li", "Cd", "Pt", "Ga", "Cd"],
  "fractional_positions": [[0.500, 0.500, 0.000], [0.000, 0.500, 0.253], [0.000, 0.000, 0.000], [0.000, 0.000, 0.500], [0.000, 0.500, 0.764], [0.500, 0.500, 0.500], [0.500, 0.000, 0.747], [0.500, 0.000, 0.236]],
  "spacegroup": "No. 115",
  "crystal_system": "tetragonal",
  "final_energy_ev_per_atom": -3.016
}

***

Record 2
{
  "formula": "LaLu2Pb7",
  "functional": "PBE-GGA",
  "state": "optimized geometry",
  "lattice_angstrom": [[2.384, -12.709, 0.000], [2.384, 12.709, 0.000], [0.000, 0.000, 4.714]],
  "species": ["Lu", "Pb", "Lu", "Pb", "La", "Pb", "Pb", "Pb", "Pb", "Pb"],
  "fractional_positions": [[0.808, 0.192, 0.000], [0.500, 0.500, 0.500], [0.192, 0.808, 0.000], [0.399, 0.601, 0.000], [0.000, 0.000, 0.000], [0.601, 0.399, 0.000], [0.102, 0.898, 0.500], [0.706, 0.294, 0.500], [0.898, 0.102, 0.500], [0.294, 0.706, 0.500]],
  "spacegroup": "No. 65",
  "crystal_system": "orthorhombic",
  "final_energy_ev_per_atom": -4.322
}

***

Record 3
{
  "formula": "Y2BIr2",
  "functional": "PBE-GGA",
  "state": "optimized geometry",
  "lattice_angstrom": [[-1.778, 1.778, 7.993], [1.778, -1.778, 7.993], [1.778, 1.778, -7.993]],
  "species": ["Ir", "Y", "B", "Y", "Ir"],
  "fractional_positions": [[0.750, 0.250, 0.500], [0.598, 0.598, 0.000], [0.000, 0.000, 0.000], [0.402, 0.402, 0.000], [0.250, 0.750, 0.500]],
  "spacegroup": "No. 139",
  "crystal_system": "tetragonal",
  "polymorph_energy_mev_per_atom": 407.0
}

***

Record 4
{
  "formula": "Pm3Mo2N6",
  "functional": "PBE-GGA",
  "state": "optimized geometry",
  "lattice_angstrom": [[9.321, 1.429, 3.422], [5.866, 3.272, 7.451], [-7.622, -4.914, -4.288]],
  "species": ["N", "Mo", "N", "N", "Pm", "Mo", "Pm", "N", "Pm", "N", "N"],
  "fractional_positions": [[0.414, 0.914, 0.500], [0.402, 0.402, 0.000], [0.586, 0.086, 0.500], [0.086, 0.586, 0.500], [0.820, 0.820, 0.000], [0.598, 0.598, 0.000], [0.180, 0.180, 0.000], [0.914, 0.414, 0.500], [0.000, 0.000, 0.000], [0.301, 0.301, 0.000], [0.699, 0.699, 0.000]],
  "spacegroup": "No. 139",
  "crystal_system": "tetragonal",
  "final_energy_ev_per_atom": -8.810
}